--- P ---
# HfMn3C, relaxed, DFT PBE
# N(E_F) = 3.8 states/eV/f.u.
# M_tot = 0.572 μB per atom
# calculated volume = 11.799 Å³ per atom
# calculated density = 10.001 g/cm³
data_HfMn3C
_chemical_formula_sum 'Hf1 Mn3 C1'
_symmetry_space_group_name_H-M 'P m -3 m'
_symmetry_Int_Tables_number 221
_symmetry_space_group_name_Hall '-P 4 2 3'
_cell_length_a 3.893
_cell_length_b 3.893
_cell_length_c 3.893
_cell_angle_alpha 90.00
_cell_angle_beta 90.00
_cell_angle_gamma 90.00
loop_
_atom_site_label
_atom_site_fract_x
_atom_site_fract_y
_atom_site_fract_z
_atom_site_occupancy
Hf1 0.000 0.000 0.000 1
Mn1 0.000 0.500 0.500 1
C1 0.500 0.500 0.500 1

--- Q ---
# HfMn3C, relaxed, DFT PBE
# N(E_F) = 1.8 states/eV/f.u.
# M_tot = 1.821 μB per atom
# calculated volume = 21.294 Å³ per atom
# calculated density = 5.542 g/cm³
data_HfMn3C
_chemical_formula_sum 'Hf1 Mn3 C1'
_symmetry_space_group_name_H-M 'P m -3 m'
_symmetry_Int_Tables_number 221
_symmetry_space_group_name_Hall '-P 4 2 3'
_cell_length_a 4.740
_cell_length_b 4.740
_cell_length_c 4.740
_cell_angle_alpha 90.00
_cell_angle_beta 90.00
_cell_angle_gamma 90.00
loop_
_atom_site_label
_atom_site_fract_x
_atom_site_fract_y
_atom_site_fract_z
_atom_site_occupancy
Hf1 0.000 0.000 0.000 1
Mn1 0.000 0.000 0.500 1
C1 0.500 0.500 0.500 1

Name the least stable of them. Q.

--- P ---
# HfMnC3, relaxed, DFT PBE
# N(E_F) = 3.9 states/eV/f.u.
# M_tot = 0.060 μB per atom
# calculated volume = 10.386 Å³ per atom
# calculated density = 8.616 g/cm³
data_HfMnC3
_chemical_formula_sum 'Hf1 Mn1 C3'
_symmetry_space_group_name_H-M 'P m -3 m'
_symmetry_Int_Tables_number 221
_symmetry_space_group_name_Hall '-P 4 2 3'
_cell_length_a 3.731
_cell_length_b 3.731
_cell_length_c 3.731
_cell_angle_alpha 90.00
_cell_angle_beta 90.00
_cell_angle_gamma 90.00
loop_
_atom_site_label
_atom_site_fract_x
_atom_site_fract_y
_atom_site_fract_z
_atom_site_occupancy
Hf1 0.000 0.000 0.000 1
Mn1 0.500 0.500 0.500 1
C1 0.000 0.500 0.500 1

--- Q ---
# HfMnC3, relaxed, DFT PBE
# N(E_F) = 6.0 states/eV/f.u.
# M_tot = 0.039 μB per atom
# calculated volume = 14.839 Å³ per atom
# calculated density = 6.031 g/cm³
data_HfMnC3
_chemical_formula_sum 'Hf1 Mn1 C3'
_symmetry_space_group_name_H-M 'P m -3 m'
_symmetry_Int_Tables_number 221
_symmetry_space_group_name_Hall '-P 4 2 3'
_cell_length_a 4.202
_cell_length_b 4.202
_cell_length_c 4.202
_cell_angle_alpha 90.00
_cell_angle_beta 90.00
_cell_angle_gamma 90.00
loop_
_atom_site_label
_atom_site_fract_x
_atom_site_fract_y
_atom_site_fract_z
_atom_site_occupancy
Hf1 0.000 0.000 0.000 1
Mn1 0.500 0.500 0.500 1
C1 0.000 0.000 0.500 1

Name the least stable of them. Q.